# HfGaTc

A PBEsol-optimized structure of HfGaTc (SCAN, Alexandria via LeMat-Bulk).

Cell lengths 13.0964, 3.3080, 4.5362 Å; angles 90.00, 95.86, 90.00 degrees
Last column: nearest neighbours and their distance in Å.
Space group C2/m (No. 12)
Symmetry-distinct sites (fractional):
Hf 0.0844 0.0000 0.2754 (multiplicity 4)  6 Tc 2.79-2.83, 3 Ga 2.84-2.89
Ga 0.2418 0.0000 0.7723 (multiplicity 4)  3 Tc 2.59-2.84, 2 Ga 2.64, 3 Hf 2.84-2.89
Tc 0.0898 0.5000 0.7823 (multiplicity 4)  3 Ga 2.59-2.84, 6 Hf 2.79-2.83

Values from the calculation:
Spin magnetization (Bohr magnetons per cell): 0.0
DFT formation energy (eV/atom): -0.56
Electronic total energy (eV per atom): -38.59